Density functional theory data (PBE) for crystalline Gd2TmBe at its relaxed geometry.

Total energy (eV per formula unit): -33.641
Magnetization (μB per formula unit): 15.0
ΔE_f (eV per atom): 0.6797
Symmetry: R-3m
Energy relative to the lowest polymorph listed for this composition (kJ/mol of formula units): 228

Structure (POSCAR):
```
Gd2TmBe
1.0
3.421 0.000 0.000
-1.711 2.963 0.000
0.000 0.000 34.175
Gd Tm Be
6 3 3
direct
0.000 0.000 0.084
0.000 0.000 0.916
0.333 0.667 0.583
0.333 0.667 0.751
0.667 0.333 0.249
0.667 0.333 0.417
0.000 0.000 0.500
0.333 0.667 0.167
0.667 0.333 0.833
0.000 0.000 0.000
0.333 0.667 0.667
0.667 0.333 0.333
```